Below is PrGa3Ir3 after structural relaxation, with properties calculated at the PBE level.

```
PrGa3Ir3
1.0
6.771 0.000 0.000
0.000 6.771 0.000
0.000 0.000 6.771
Pr Ir Ga
2 6 6
Direct
0.500 0.500 0.500
0.000 0.000 0.000
0.250 0.000 0.500
0.000 0.500 0.250
0.500 0.750 0.000
0.750 0.000 0.500
0.000 0.500 0.750
0.500 0.250 0.000
0.000 0.250 0.500
0.000 0.750 0.500
0.500 0.000 0.750
0.750 0.500 0.000
0.500 0.000 0.250
0.250 0.500 0.000
```

Results
The calculation puts the density of states at the Fermi level at 9.66 states/eV per cell. Its formation energy from the elements is -0.31 eV/f.u. As for the space-group type: Pm-3n, No. 223. The calculation puts the spin magnetization at 0.00 μB per cell. Its crystal system is cubic.

=====

Below is Pr6Ga2Ir after structural relaxation, with properties calculated at the PBE level.

```
Pr6Ga2Ir
1.0
6.081 0.000 0.472
0.000 8.724 0.000
-0.152 0.000 10.222
Pr Ga Ir
12 4 2
Direct
0.900 0.973 0.237
0.892 0.681 0.557
0.904 0.668 0.939
0.596 0.168 0.561
0.608 0.181 0.943
0.600 0.473 0.263
0.100 0.027 0.763
0.108 0.319 0.443
0.096 0.332 0.061
0.404 0.832 0.439
0.392 0.819 0.057
0.400 0.527 0.737
0.922 0.373 0.750
0.578 0.873 0.750
0.422 0.127 0.250
0.078 0.627 0.250
0.500 0.500 0.000
0.000 0.000 0.500
```

Results
The calculation puts the density of states at the Fermi level at 21.12 states/eV per cell. Its formation energy from the elements is -3.21 eV/f.u. As for the space-group type: P2_1/c, No. 14. The calculation puts the spin magnetization at 0.00 μB per cell. Its crystal system is monoclinic.

=====

Below is Pr2Ga3Ir2 after structural relaxation, with properties calculated at the PBE level.

```
Pr2Ga3Ir2
1.0
-3.394 -2.267 1.387
-0.638 -3.005 -6.471
7.386 -5.768 1.950
Pr Ga Ir
4 6 4
Direct
0.160 0.250 0.320
0.840 0.750 0.680
0.938 0.250 0.876
0.062 0.750 0.124
0.225 0.750 0.449
0.775 0.250 0.551
0.561 0.428 0.122
0.439 0.572 0.878
0.439 0.928 0.878
0.561 0.072 0.122
0.690 0.947 0.381
0.310 0.053 0.619
0.310 0.447 0.619
0.690 0.553 0.381
```

Results
The calculation puts the density of states at the Fermi level at 12.66 states/eV per cell. Its formation energy from the elements is -4.14 eV/f.u. As for the space-group type: Cmcm, No. 63. The calculation puts the spin magnetization at 0.00 μB per cell. Its crystal system is orthorhombic.

=====

Below is Pr2Ga4Ir3 after structural relaxation, with properties calculated at the PBE level.

```
Pr2Ga4Ir3
1.0
-2.046 4.682 2.350
-2.081 -1.866 -4.880
-2.300 -4.924 4.471
Pr Ga Ir
2 4 3
Direct
0.627 0.627 0.254
0.373 0.373 0.746
0.015 0.671 0.686
0.671 0.015 0.686
0.985 0.329 0.314
0.329 0.985 0.314
0.500 0.000 0.000
0.000 0.000 0.000
0.000 0.500 0.000
```

Results
The calculation puts the density of states at the Fermi level at 5.15 states/eV per cell. Its formation energy from the elements is -5.37 eV/f.u. As for the space-group type: Fmmm, No. 69. The calculation puts the spin magnetization at 0.00 μB per cell. Its crystal system is orthorhombic.